(1)
A plane-wave DFT calculation with GGA-PBE was carried out for a relaxed structure of KSe2Br.

Cell: 3.9968 3.9968 29.0071 Å, 90.00 90.00 120.00°
Space group R-3m (No. 166, hexagonal axes)
One atom of each set of equivalent atoms:
1 K 0.0000 0.0000 0.0000
2 Se 0.0000 0.0000 0.4140
3 Br 0.0000 0.0000 0.5000

Calculated values
* ΔE to the lowest computed polymorph: 0.671 eV per atom
* raw formation energy: -0.0179 eV per atom



(2)
A plane-wave DFT calculation with GGA-PBE was carried out for a relaxed structure of CaCdS2N.

Cell: 5.3071 5.3071 4.5070 Å, 90.00 90.00 90.00°
Space group P4/mmm (No. 123)
One atom of each set of equivalent atoms:
1 Ca 0.0000 0.0000 0.0000
2 Cd 0.5000 0.5000 0.5000
3 S 0.0000 0.5000 0.0000
4 N 0.0000 0.0000 0.5000

Calculated values
* ΔE to the lowest computed polymorph: 0.401 eV per atom
* raw formation energy: 0.5526 eV per atom



(3)
A plane-wave DFT calculation with GGA-PBE was carried out for a relaxed structure of InSn2HBr.

Cell: 5.6708 5.6708 6.0897 Å, 90.00 90.00 90.00°
Space group P4/mmm (No. 123)
One atom of each set of equivalent atoms:
1 In 0.0000 0.0000 0.0000
2 Sn 0.0000 0.5000 0.5000
3 H 0.5000 0.5000 0.0000
4 Br 0.0000 0.0000 0.5000

Calculated values
* final energy: -2.207 eV per atom



no.,M_tot (μB/atom)
1,0.000
2,0.614
3,0.128